## La5Sb (PBE)

Data for La5Sb after structural relaxation.

a b c (Å): 6.2387 6.2387 5.9364
angles (deg): 90.00 90.00 120.00
Space group P-62m (No. 189)
One atom of each set of equivalent atoms:
1 La 0.0000 0.6992 0.0000
2 La 0.3333 0.6667 0.5000
3 Sb 0.0000 0.0000 0.5000

Properties
- ΔE to the lowest computed polymorph (eV/f.u.) = 0.33
- E_form (uncorrected) (kcal/mol of atoms) = -7.259
- crystal system = hexagonal

---

## LaPr2Br (PBE)

Data for LaPr2Br after structural relaxation.

a b c (Å): 3.8034 3.8034 31.8120
angles (deg): 90.00 90.00 120.00
Space group R-3m (No. 166, hexagonal axes)
One atom of each set of equivalent atoms:
1 La 0.0000 0.0000 0.0000
2 Pr 0.0000 0.0000 0.2415
3 Br 0.0000 0.0000 0.5000

Properties
- ΔE to the lowest computed polymorph (eV/f.u.) = 0.00
- E_form (uncorrected) (kcal/mol of atoms) = -13.557
- crystal system = trigonal

---

## CdWSe2 (PBE)

Data for CdWSe2 after structural relaxation.

a b c (Å): 3.4962 3.4962 25.6387
angles (deg): 90.00 90.00 120.00
Space group R-3m (No. 166, hexagonal axes)
One atom of each set of equivalent atoms:
1 Cd 0.0000 0.0000 0.0000
2 W 0.0000 0.0000 0.5000
3 Se 0.0000 0.0000 0.4068

Properties
- E_form (uncorrected) (kcal/mol of atoms) = 15.271
- crystal system = trigonal

---

## LiInSbAu (PBE)

Data for LiInSbAu after structural relaxation.

a b c (Å): 7.029 7.029 7.029
angles (deg): 90.00 90.00 90.00
Space group F-43m (No. 216)
One atom of each set of equivalent atoms:
1 Li 0.000 0.000 0.000
2 In 0.250 0.250 0.750
3 Sb 0.250 0.250 0.250
4 Au 0.000 0.000 0.500

Properties
- E_form (uncorrected) (kcal/mol of atoms) = -4.232
- crystal system = cubic

---

## Pm2NdDy9 (PBE)

Data for Pm2NdDy9 after structural relaxation.

a b c (Å): 11.2966 11.2966 3.5183
angles (deg): 90.00 90.00 120.00
Space group P6/mmm (No. 191)
One atom of each set of equivalent atoms:
1 Pm 0.3333 0.6667 0.0000
2 Nd 0.0000 0.0000 0.0000
3 Dy 0.0000 0.5000 0.0000
4 Dy 0.1758 0.3516 0.5000

Properties
- energy of formation (eV per atom) = 0.0533
- ΔE to the lowest computed polymorph (eV/f.u.) = 0.40
- crystal system = hexagonal

---

## BaLi4Si4 (PBE)

Data for BaLi4Si4 after structural relaxation.

a b c (Å): 9.867 9.867 3.823
angles (deg): 90.00 90.00 90.00
Space group I4/m (No. 87)
One atom of each set of equivalent atoms:
1 Ba 0.000 0.000 0.000
2 Li 0.062 0.651 0.500
3 Si 0.179 0.258 0.500

Properties
- E_form (uncorrected) (kcal/mol of atoms) = -5.649
- crystal system = tetragonal